Record 1
InCuReN2, single point on PBEsol structure, DFT meta-GGA SCAN; total magnetic moment = 0.00 μB/f.u.; E_form (uncorrected) = 2.600 eV per formula unit
1.0
3.8286 0.0000 0.0000
0.0000 3.8286 0.0000
0.0000 0.0000 5.0819
Re N Cu In
1 2 1 1
Direct
0.0000 0.0000 0.0000 Re
0.0000 0.5000 0.0000 N
0.5000 0.0000 0.0000 N
0.0000 0.0000 0.5000 Cu
0.5000 0.5000 0.5000 In

***

Record 2
Nb3InCu, single point on PBEsol structure, DFT meta-GGA SCAN; total magnetic moment = 1.38 μB/f.u.; energy of formation = 2.143 eV/atom
1.0
4.9539 0.0000 0.0000
0.0000 4.9539 0.0000
0.0000 0.0000 4.9539
Nb Cu In
3 1 1
Direct
0.0000 0.5000 0.0000 Nb
0.0000 0.0000 0.5000 Nb
0.5000 0.0000 0.0000 Nb
0.5000 0.5000 0.5000 Cu
0.0000 0.0000 0.0000 In

***

Record 3
NbInCu2Tc, single point on PBEsol structure, DFT meta-GGA SCAN; total magnetic moment = 0.00 μB/f.u.; energy of formation = 1.028 eV/atom
1.0
4.6331 0.0000 0.0000
0.0000 4.6408 0.0000
0.0000 0.0000 4.6408
Nb Tc Cu In
1 1 2 1
Direct
0.5000 0.0000 0.0000 Nb
0.0000 0.0000 0.0000 Tc
0.0000 0.0000 0.5000 Cu
0.0000 0.5000 0.0000 Cu
0.5000 0.5000 0.5000 In

***

Record 4
NdIn6Cu6, single point on PBEsol structure, DFT meta-GGA SCAN; total magnetic moment = 0.00 μB/f.u.; energy of formation = -0.186 eV/atom
1.0
-1.2276 -3.4943 3.8621
3.7335 -5.9128 -0.4560
3.9923 0.8036 5.7029
Nd In Cu
1 6 6
Direct
0.0000 0.0000 0.0000 Nd
0.0000 0.6618 0.3382 In
0.0000 0.3382 0.6618 In
0.3440 0.6560 0.6560 In
0.6560 0.3440 0.3440 In
0.3144 0.1856 0.1856 In
0.6856 0.8144 0.8144 In
0.5000 0.0000 0.5000 Cu
0.0000 0.0000 0.5000 Cu
0.0000 0.5000 0.0000 Cu
0.5000 0.5000 0.0000 Cu
0.5000 0.2351 0.7649 Cu
0.5000 0.7649 0.2351 Cu